## i
LaPmBi | PBE | relaxed

spin magnetization	0.000	μB/f.u.
DOS at the Fermi energy	6.42	states/eV per cell
space-group type	Immm, No. 71

a b c (Å): 10.124 10.124 10.124
angles (deg): 159.21 145.46 40.66
Fractional coordinates of all 6 atoms:
La: 0.170 0.170 0.000
La: 0.830 0.830 0.000
Pm: 0.246 0.500 0.746
Pm: 0.754 0.500 0.254
Bi: 0.344 0.344 0.000
Bi: 0.656 0.656 0.000

## ii
LaPmBi | PBE | relaxed

spin magnetization	0.000	μB/f.u.
DOS at the Fermi energy	3.68	states/eV per cell
space-group type	P3m1, No. 156

a b c (Å): 5.352 5.352 4.196
angles (deg): 90.00 90.00 120.00
Fractional coordinates of all 3 atoms:
La: 0.000 0.000 0.000
Pm: 0.333 0.667 0.522
Bi: 0.667 0.333 0.367

## iii
LaPmBi | PBE | relaxed

spin magnetization	0.000	μB/f.u.
DOS at the Fermi energy	3.54	states/eV per cell
space-group type	I4mm, No. 107

a b c (Å): 6.066 6.066 6.066
angles (deg): 138.75 138.75 59.75
Fractional coordinates of all 3 atoms:
La: 0.000 0.000 0.000
Pm: 0.306 0.306 0.000
Bi: 0.660 0.660 0.000

Most stable of them? iii.

## i
LaPmBi | PBE | relaxed

spin magnetization	0.000	μB/f.u.
DOS at the Fermi energy	6.24	states/eV per cell
space-group type	P4/nmm, No. 129

a b c (Å): 4.712 4.712 9.131
angles (deg): 90.00 90.00 90.00
Fractional coordinates of all 6 atoms:
La: 0.250 0.250 0.148
La: 0.750 0.750 0.852
Pm: 0.250 0.750 0.500
Pm: 0.750 0.250 0.500
Bi: 0.250 0.250 0.775
Bi: 0.750 0.750 0.225

## ii
LaPmBi | PBE | relaxed

spin magnetization	0.000	μB/f.u.
DOS at the Fermi energy	3.25	states/eV per cell
space-group type	F-43m, No. 216

a b c (Å): 5.382 5.382 5.382
angles (deg): 60.00 60.00 60.00
Fractional coordinates of all 3 atoms:
La: 0.000 0.000 0.000
Pm: 0.500 0.500 0.500
Bi: 0.750 0.750 0.750

Most stable of them? i.

## i
LaPm2Bi | PBE | relaxed

spin magnetization	0.000	μB/f.u.
DOS at the Fermi energy	3.80	states/eV per cell
space-group type	P4/mmm, No. 123

a b c (Å): 5.044 5.044 4.922
angles (deg): 90.00 90.00 90.00
Fractional coordinates of all 4 atoms:
La: 0.000 0.000 0.000
Pm: 0.000 0.500 0.500
Pm: 0.500 0.000 0.500
Bi: 0.500 0.500 0.000

## ii
LaPm2Bi | PBE | relaxed

spin magnetization	0.012	μB/f.u.
DOS at the Fermi energy	7.49	states/eV per cell
space-group type	P4/mmm, No. 123

a b c (Å): 4.166 4.166 7.496
angles (deg): 90.00 90.00 90.00
Fractional coordinates of all 4 atoms:
La: 0.000 0.000 0.000
Pm: 0.500 0.500 0.280
Pm: 0.500 0.500 0.720
Bi: 0.000 0.000 0.500

## iii
LaPm2Bi | PBE | relaxed

spin magnetization	0.159	μB/f.u.
DOS at the Fermi energy	3.66	states/eV per cell
space-group type	R3m, No. 160

a b c (Å): 10.143 10.143 10.143
angles (deg): 23.72 23.72 23.72
Fractional coordinates of all 4 atoms:
La: 0.000 0.000 0.000
Pm: 0.569 0.569 0.569
Pm: 0.764 0.764 0.764
Bi: 0.166 0.166 0.166

## iv
LaPm2Bi | PBE | relaxed

spin magnetization	0.000	μB/f.u.
DOS at the Fermi energy	3.10	states/eV per cell
space-group type	R-3m, No. 166

a b c (Å): 12.594 12.594 12.594
angles (deg): 16.55 16.55 16.55
Fractional coordinates of all 4 atoms:
La: 0.000 0.000 0.000
Pm: 0.414 0.414 0.414
Pm: 0.586 0.586 0.586
Bi: 0.500 0.500 0.500

Most stable of them? i.

## i
La3PmBi3 | PBE | relaxed

spin magnetization	0.000	μB/f.u.
DOS at the Fermi energy	36.02	states/eV per cell
space-group type	P2_13, No. 198

a b c (Å): 9.821 9.821 9.821
angles (deg): 90.00 90.00 90.00
Fractional coordinates of all 28 atoms:
La: 0.069 0.431 0.569
La: 0.177 0.823 0.323
La: 0.178 0.178 0.178
La: 0.322 0.822 0.678
La: 0.323 0.177 0.823
La: 0.431 0.569 0.069
La: 0.569 0.069 0.431
La: 0.677 0.677 0.677
La: 0.678 0.322 0.822
La: 0.822 0.678 0.322
La: 0.823 0.323 0.177
La: 0.931 0.931 0.931
Pm: 0.071 0.571 0.929
Pm: 0.429 0.429 0.429
Pm: 0.571 0.929 0.071
Pm: 0.929 0.071 0.571
Bi: 0.001 0.254 0.872
Bi: 0.128 0.501 0.246
Bi: 0.246 0.128 0.501
Bi: 0.254 0.872 0.001
Bi: 0.372 0.499 0.746
Bi: 0.499 0.746 0.372
Bi: 0.501 0.246 0.128
Bi: 0.628 0.999 0.754
Bi: 0.746 0.372 0.499
Bi: 0.754 0.628 0.999
Bi: 0.872 0.001 0.254
Bi: 0.999 0.754 0.628

## ii
La3PmBi3 | PBE | relaxed

spin magnetization	0.370	μB/f.u.
DOS at the Fermi energy	13.52	states/eV per cell
space-group type	P6_3/m, No. 176

a b c (Å): 9.571 9.571 6.133
angles (deg): 90.00 90.00 120.00
Fractional coordinates of all 14 atoms:
La: 0.012 0.252 0.250
La: 0.240 0.988 0.250
La: 0.252 0.240 0.750
La: 0.748 0.760 0.250
La: 0.760 0.012 0.750
La: 0.988 0.748 0.750
Pm: 0.333 0.667 0.250
Pm: 0.667 0.333 0.750
Bi: 0.056 0.431 0.750
Bi: 0.375 0.944 0.750
Bi: 0.431 0.375 0.250
Bi: 0.569 0.625 0.750
Bi: 0.625 0.056 0.250
Bi: 0.944 0.569 0.250

Most stable of them? i.

## i
LaPm3Bi3 | PBE | relaxed

spin magnetization	0.000	μB/f.u.
DOS at the Fermi energy	9.29	states/eV per cell
space-group type	R-3, No. 148

a b c (Å): 8.442 8.442 8.442
angles (deg): 68.58 68.58 68.58
Fractional coordinates of all 14 atoms:
La: 0.166 0.166 0.166
La: 0.834 0.834 0.834
Pm: 0.151 0.412 0.681
Pm: 0.319 0.849 0.588
Pm: 0.412 0.681 0.151
Pm: 0.588 0.319 0.849
Pm: 0.681 0.151 0.412
Pm: 0.849 0.588 0.319
Bi: 0.036 0.797 0.422
Bi: 0.203 0.578 0.964
Bi: 0.422 0.036 0.797
Bi: 0.578 0.964 0.203
Bi: 0.797 0.422 0.036
Bi: 0.964 0.203 0.578

## ii
LaPm3Bi3 | PBE | relaxed

spin magnetization	0.000	μB/f.u.
DOS at the Fermi energy	32.85	states/eV per cell
space-group type	P2_13, No. 198

a b c (Å): 9.695 9.695 9.695
angles (deg): 90.00 90.00 90.00
Fractional coordinates of all 28 atoms:
La: 0.071 0.429 0.571
La: 0.429 0.571 0.071
La: 0.571 0.071 0.429
La: 0.929 0.929 0.929
Pm: 0.074 0.574 0.926
Pm: 0.179 0.821 0.321
Pm: 0.180 0.180 0.180
Pm: 0.320 0.820 0.680
Pm: 0.321 0.179 0.821
Pm: 0.426 0.426 0.426
Pm: 0.574 0.926 0.074
Pm: 0.679 0.679 0.679
Pm: 0.680 0.320 0.820
Pm: 0.820 0.680 0.320
Pm: 0.821 0.321 0.179
Pm: 0.926 0.074 0.574
Bi: 0.001 0.254 0.879
Bi: 0.121 0.501 0.246
Bi: 0.246 0.121 0.501
Bi: 0.254 0.879 0.001
Bi: 0.379 0.499 0.746
Bi: 0.499 0.746 0.379
Bi: 0.501 0.246 0.121
Bi: 0.621 0.999 0.754
Bi: 0.746 0.379 0.499
Bi: 0.754 0.621 0.999
Bi: 0.879 0.001 0.254
Bi: 0.999 0.754 0.621

Most stable of them? ii.

## i
La3PmBi2 | PBE | relaxed

spin magnetization	0.639	μB/f.u.
DOS at the Fermi energy	15.39	states/eV per cell
space-group type	Ibam, No. 72

a b c (Å): 9.430 9.430 9.430
angles (deg): 134.13 71.52 128.36
Fractional coordinates of all 12 atoms:
La: 0.050 0.750 0.300
La: 0.250 0.250 0.000
La: 0.450 0.750 0.700
La: 0.550 0.250 0.300
La: 0.750 0.750 0.000
La: 0.950 0.250 0.700
Pm: 0.000 0.500 0.500
Pm: 0.500 0.000 0.500
Bi: 0.148 0.164 0.312
Bi: 0.352 0.664 0.016
Bi: 0.648 0.336 0.984
Bi: 0.852 0.836 0.688

## ii
La3PmBi2 | PBE | relaxed

spin magnetization	0.001	μB/f.u.
DOS at the Fermi energy	6.61	states/eV per cell
space-group type	P-4m2, No. 115

a b c (Å): 4.732 4.732 9.194
angles (deg): 90.00 90.00 90.00
Fractional coordinates of all 6 atoms:
La: 0.000 0.000 0.000
La: 0.000 0.500 0.646
La: 0.500 0.000 0.354
Pm: 0.500 0.500 0.000
Bi: 0.000 0.500 0.277
Bi: 0.500 0.000 0.723

Most stable of them? ii.

## i
LaPm3Bi2 | PBE | relaxed

spin magnetization	0.003	μB/f.u.
DOS at the Fermi energy	15.64	states/eV per cell
space-group type	C2/m, No. 12

a b c (Å): 9.899 9.899 10.196
angles (deg): 114.44 114.44 26.42
Fractional coordinates of all 12 atoms:
La: 0.112 0.112 0.122
La: 0.888 0.888 0.878
Pm: 0.058 0.058 0.672
Pm: 0.311 0.311 0.111
Pm: 0.357 0.357 0.526
Pm: 0.643 0.643 0.474
Pm: 0.689 0.689 0.889
Pm: 0.942 0.942 0.328
Bi: 0.247 0.247 0.714
Bi: 0.489 0.489 0.157
Bi: 0.511 0.511 0.843
Bi: 0.753 0.753 0.286

## ii
LaPm3Bi2 | PBE | relaxed

spin magnetization	0.000	μB/f.u.
DOS at the Fermi energy	6.16	states/eV per cell
space-group type	P-4m2, No. 115

a b c (Å): 4.654 4.654 9.049
angles (deg): 90.00 90.00 90.00
Fractional coordinates of all 6 atoms:
La: 0.000 0.000 0.000
Pm: 0.000 0.500 0.355
Pm: 0.500 0.000 0.645
Pm: 0.500 0.500 0.000
Bi: 0.000 0.500 0.716
Bi: 0.500 0.000 0.284

Most stable of them? ii.

## i
La3PrBi2 | PBE | relaxed

spin magnetization	0.000	μB/f.u.
DOS at the Fermi energy	6.82	states/eV per cell
space-group type	P-4m2, No. 115

a b c (Å): 4.742 4.742 9.236
angles (deg): 90.00 90.00 90.00
Fractional coordinates of all 6 atoms:
La: 0.000 0.000 0.000
La: 0.000 0.500 0.645
La: 0.500 0.000 0.355
Pr: 0.500 0.500 0.000
Bi: 0.000 0.500 0.279
Bi: 0.500 0.000 0.721

## ii
La3PrBi2 | PBE | relaxed

spin magnetization	0.660	μB/f.u.
DOS at the Fermi energy	15.33	states/eV per cell
space-group type	Ibam, No. 72

a b c (Å): 9.468 9.468 9.468
angles (deg): 133.90 71.20 128.96
Fractional coordinates of all 12 atoms:
La: 0.050 0.750 0.300
La: 0.250 0.250 0.000
La: 0.450 0.750 0.700
La: 0.550 0.250 0.300
La: 0.750 0.750 0.000
La: 0.950 0.250 0.700
Pr: 0.000 0.500 0.500
Pr: 0.500 0.000 0.500
Bi: 0.148 0.164 0.312
Bi: 0.352 0.664 0.016
Bi: 0.648 0.336 0.984
Bi: 0.852 0.836 0.688

Most stable of them? i.

## i
LaPrBi2 | PBE | relaxed

spin magnetization	0.000	μB/f.u.
DOS at the Fermi energy	1.40	states/eV per cell
space-group type	P6_3/mmc, No. 194

a b c (Å): 4.645 4.645 15.491
angles (deg): 90.00 90.00 120.00
Fractional coordinates of all 8 atoms:
La: 0.333 0.667 0.250
La: 0.667 0.333 0.750
Pr: 0.000 0.000 0.000
Pr: 0.000 0.000 0.500
Bi: 0.333 0.667 0.622
Bi: 0.333 0.667 0.878
Bi: 0.667 0.333 0.122
Bi: 0.667 0.333 0.378

## ii
LaPrBi2 | PBE | relaxed

spin magnetization	0.001	μB/f.u.
DOS at the Fermi energy	2.07	states/eV per cell
space-group type	P4/mmm, No. 123

a b c (Å): 6.070 6.070 3.489
angles (deg): 90.00 90.00 90.00
Fractional coordinates of all 4 atoms:
La: 0.000 0.000 0.000
Pr: 0.500 0.500 0.000
Bi: 0.000 0.500 0.500
Bi: 0.500 0.000 0.500

## iii
LaPrBi2 | PBE | relaxed

spin magnetization	0.000	μB/f.u.
DOS at the Fermi energy	0.37	states/eV per cell
space-group type	R3m, No. 160

a b c (Å): 8.399 8.399 8.399
angles (deg): 32.00 32.00 32.00
Fractional coordinates of all 4 atoms:
La: 0.000 0.000 0.000
Pr: 0.829 0.829 0.829
Bi: 0.414 0.414 0.414
Bi: 0.581 0.581 0.581

## iv
LaPrBi2 | PBE | relaxed

spin magnetization	0.000	μB/f.u.
DOS at the Fermi energy	0.59	states/eV per cell
space-group type	R-3m, No. 166

a b c (Å): 8.087 8.087 8.087
angles (deg): 33.62 33.62 33.62
Fractional coordinates of all 4 atoms:
La: 0.000 0.000 0.000
Pr: 0.500 0.500 0.500
Bi: 0.249 0.249 0.249
Bi: 0.751 0.751 0.751

Most stable of them? iv.